*1*
Computed, not measured: a relaxed structure of MgFeSbPb2 at the GGA-PBE level of DFT.

Lattice parameters (Å, degrees): 5.254 4.978 5.254 90.00 90.00 90.00
Site moments in Bohr magnetons follow the coordinates.
Fractional coordinates of all 5 atoms:
Fe1 0.000 0.000 0.000  1.78
Sb1 0.000 0.500 0.000  -0.01
Pb1 0.000 0.000 0.500  -0.01
Pb2 0.500 0.000 0.000  -0.06
Mg1 0.500 0.500 0.500  -0.01

**Volume**: 137 Å³/cell
**DOS(E_F)**: 5.97 states/eV/f.u.

*2*
Computed, not measured: a relaxed structure of MgFeSbPb2 at the GGA-PBE level of DFT.

Lattice parameters (Å, degrees): 5.453 4.686 5.453 90.00 90.00 90.00
Site moments in Bohr magnetons follow the coordinates.
Fractional coordinates of all 5 atoms:
Mg1 0.000 0.000 0.000  0.01
Pb1 0.000 0.000 0.500  0.02
Pb2 0.500 0.000 0.000  0.02
Sb1 0.500 0.500 0.500  0.01
Fe1 0.000 0.500 0.000  -0.13

**Volume**: 139 Å³/cell
**DOS(E_F)**: 8.65 states/eV/f.u.

Relative energies, in meV/atom, with the most stable structure set to zero: *1* 0; *2* 729.